Entry 1:
A plane-wave DFT calculation with PBE was carried out for a relaxed Na2ThBr2O2 crystal.

Cell: 8.946 8.946 8.946 Å, 151.00 151.00 41.48°
Fractional positions:
Na1 0.124 0.124 0.000
Na2 0.876 0.876 0.000
Th1 0.500 0.500 0.000
Br1 0.321 0.321 0.000
Br2 0.679 0.679 0.000
O1 0.000 0.500 0.500
O2 0.500 0.000 0.500

Computed properties:
M_tot: 0.000 μB per formula unit
V: 167.9 Å³/f.u.
calculated total energy: -0.2058 hartree per atom
formation energy from raw total energies: -15.88 eV/f.u.

***

Entry 2:
A plane-wave DFT calculation with PBE was carried out for a relaxed La2TbSmEr5 crystal.

Cell: 9.965 9.965 9.965 Å, 128.78 128.78 75.36°
Fractional positions:
La1 0.118 0.618 0.736
La2 0.382 0.118 0.500
La3 0.618 0.882 0.500
La4 0.882 0.382 0.264
Tb1 0.250 0.250 0.000
Tb2 0.750 0.750 0.000
Sm1 0.250 0.750 0.500
Sm2 0.750 0.250 0.500
Er1 0.000 0.000 0.000
Er2 0.073 0.143 0.500
Er3 0.143 0.643 0.070
Er4 0.357 0.427 0.500
Er5 0.427 0.927 0.070
Er6 0.500 0.500 0.000
Er7 0.573 0.073 0.930
Er8 0.643 0.573 0.500
Er9 0.857 0.357 0.930
Er10 0.927 0.857 0.500

Computed properties:
M_tot: 0.000 μB per formula unit
V: 292.6 Å³/f.u.
calculated total energy: -0.1622 hartree per atom
ΔE_f: 2.3 eV per formula unit

***

Calculated values (g cm⁻³) of theoretical density for the records, taken in order: 4.65, 8.08.